No. 1
This record from the Alexandria database describes a relaxed RbScTe2Cl crystal. The functional is PBE-GGA.

Crystal system: tetragonal
Density of states at the Fermi level: 4.341 states/eV/f.u.
Total DFT energy (no corrections): -21.47 eV/f.u.

a = 5.664 Å, b = 5.664 Å, c = 5.266 Å
α = 90.00°, β = 90.00°, γ = 90.00°
Space group P4/mmm (No. 123)
Asymmetric unit:
Rb: 0.000 0.000 0.000 x1
Sc: 0.500 0.500 0.500 x1
Te: 0.000 0.500 0.500 x2
Cl: 0.500 0.500 0.000 x1

=====

No. 2
This record from the Alexandria database describes a relaxed BaAcSbPb crystal. The functional is PBE-GGA.

Crystal system: cubic
Density of states at the Fermi level: 4.702 states/eV/f.u.
Total DFT energy (no corrections): -16.28 eV/f.u.

a = 8.401 Å, b = 8.401 Å, c = 8.401 Å
α = 90.00°, β = 90.00°, γ = 90.00°
Space group F-43m (No. 216)
Asymmetric unit:
Ba: 0.000 0.000 0.000 x4
Ac: 0.000 0.000 0.500 x4
Sb: 0.250 0.250 0.750 x4
Pb: 0.250 0.250 0.250 x4

=====

Number 1: formation energy (no corrections) -1.21 eV per atom. Number 2: formation energy (no corrections) -0.61 eV per atom.